1.
AgHBr3: optimized geometry, PBE.

Output
- Crystal system: triclinic
- ΔE to the lowest computed polymorph: 0.000 eV/atom

Unit cell a=4.6161 b=4.8459 c=15.5793 alpha=84.70 beta=82.53 gamma=87.77
Space group P1 (No. 1)
Symmetry-distinct sites (fractional):
Ag  0.0000  0.0000  0.0000 (multiplicity 1)
Ag  0.4903  0.3976  0.0038 (multiplicity 1)
H  0.0216  0.1797  0.3127 (multiplicity 1)
H  0.4683  0.2154  0.6909 (multiplicity 1)
Br  0.0297  0.5170  0.9074 (multiplicity 1)
Br  0.1927  0.4433  0.5226 (multiplicity 1)
Br  0.2971  0.9498  0.4814 (multiplicity 1)
Br  0.4605  0.8807  0.0964 (multiplicity 1)
Br  0.6532  0.0053  0.7287 (multiplicity 1)
Br  0.8368  0.3907  0.2754 (multiplicity 1)

2.
AgH2Br: optimized geometry, PBE.

Output
- Crystal system: cubic
- ΔE to the lowest computed polymorph: 0.840 eV/atom

Unit cell a=5.9407 b=5.9407 c=5.9407 alpha=90.00 beta=90.00 gamma=90.00
Space group Fm-3m (No. 225)
Symmetry-distinct sites (fractional):
Ag  0.0000  0.0000  0.0000 (multiplicity 4)
H  0.2500  0.2500  0.2500 (multiplicity 8)
Br  0.0000  0.0000  0.5000 (multiplicity 4)

3.
Ag2HBr2: optimized geometry, PBE.

Output
- Crystal system: monoclinic
- DFT total energy: -0.1930 Ry per atom

Unit cell a=19.7852 b=4.1370 c=6.1822 alpha=90.00 beta=105.07 gamma=90.00
Space group C2/m (No. 12)
Symmetry-distinct sites (fractional):
Ag  0.0446  0.0000  0.2148 (multiplicity 4)
Ag  0.0583  0.5000  0.8952 (multiplicity 4)
H  0.2284  0.0000  0.7520 (multiplicity 4)
Br  0.1072  0.0000  0.6519 (multiplicity 4)
Br  0.1970  0.5000  0.2476 (multiplicity 4)

4.
Ag2H3Br6: optimized geometry, PBE.

Output
- Crystal system: triclinic
- DFT total energy: -0.1893 Ry per atom

Unit cell a=7.1613 b=8.5889 c=11.8409 alpha=78.37 beta=79.63 gamma=87.63
Space group P-1 (No. 2)
Symmetry-distinct sites (fractional):
Ag  0.0039  0.3549  0.3949 (multiplicity 2)
Ag  0.2542  0.8946  0.0358 (multiplicity 2)
H  0.0598  0.7705  0.2900 (multiplicity 2)
H  0.2146  0.6185  0.8358 (multiplicity 2)
H  0.3303  0.1337  0.2666 (multiplicity 2)
Br  0.0476  0.0845  0.8083 (multiplicity 2)
Br  0.1007  0.6310  0.0057 (multiplicity 2)
Br  0.1831  0.6427  0.3738 (multiplicity 2)
Br  0.2556  0.1128  0.3954 (multiplicity 2)
Br  0.3004  0.6011  0.7121 (multiplicity 2)
Br  0.4156  0.1611  0.0794 (multiplicity 2)

5.
AgHBr: optimized geometry, PBE.

Output
- Crystal system: monoclinic
- ΔE to the lowest computed polymorph: 0.000 eV/atom

Unit cell a=15.3272 b=4.3795 c=4.4138 alpha=90.00 beta=106.56 gamma=90.00
Space group C2/m (No. 12)
Symmetry-distinct sites (fractional):
Ag  0.2484  0.0000  0.2473 (multiplicity 4)
H  0.9997  0.5000  0.0849 (multiplicity 4)
Br  0.1344  0.0000  0.6345 (multiplicity 4)

6.
AgHBr3: optimized geometry, PBE.

Output
- Crystal system: trigonal
- ΔE to the lowest computed polymorph: 0.240 eV/atom

Unit cell a=7.1070 b=7.1070 c=10.7681 alpha=90.00 beta=90.00 gamma=120.00
Space group R3m (No. 160, hexagonal axes)
Symmetry-distinct sites (fractional):
Ag  0.0000  0.0000  0.0000 (multiplicity 3)
H  0.0000  0.0000  0.2305 (multiplicity 3)
Br  0.1770  0.3541  0.8542 (multiplicity 9)

no.,M_tot (μB/cell)
1,0.0
2,0.0
3,0.0
4,0.0
5,0.0
6,0.0